Computed, not measured: an optimized crystal structure of TaCrPb2Cl at the GGA-PBE level of DFT.

Lattice parameters (Å, degrees): 5.599 5.599 4.719 90.00 90.00 90.00
Space group P4/mmm (No. 123)
Unique sites:
Ta 0.000 0.000 0.000 (multiplicity 1)
Cr 0.000 0.000 0.500 (multiplicity 1)
Pb 0.000 0.500 0.000 (multiplicity 2)
Cl 0.500 0.500 0.500 (multiplicity 1)

Computed properties:
uncorrected formation energy = 0.735 eV per atom
N(E_F) = 3.807 states/eV/cell

Computed, not measured: an optimized crystal structure of Tc2NiAg at the GGA-PBE level of DFT.

Lattice parameters (Å, degrees): 5.202 8.443 2.617 90.00 90.00 90.00
Space group Cmmm (No. 65)
Unique sites:
Tc 0.250 0.250 0.000 (multiplicity 4)
Ni 0.000 0.000 0.500 (multiplicity 2)
Ag 0.000 0.500 0.500 (multiplicity 2)

Computed properties:
E_form = 0.4260 eV per atom
offset from the most stable computed form = 0.240 eV per atom
N(E_F) = 8.523 states/eV/cell

Computed, not measured: an optimized crystal structure of MgPt2Au at the GGA-PBE level of DFT.

Lattice parameters (Å, degrees): 2.885 3.935 5.779 90.00 90.00 90.00
Space group Pmmm (No. 47)
Unique sites:
Mg 0.000 0.000 0.000 (multiplicity 1)
Pt 0.500 0.500 0.240 (multiplicity 2)
Au 0.000 0.000 0.500 (multiplicity 1)

Computed properties:
E_form = -0.4410 eV per atom
N(E_F) = 2.070 states/eV/cell

Computed, not measured: an optimized crystal structure of SrVCoPb2 at the GGA-PBE level of DFT.

Lattice parameters (Å, degrees): 5.257 5.257 5.487 90.00 90.00 90.00
Space group P4/mmm (No. 123)
Unique sites:
Sr 0.000 0.000 0.000 (multiplicity 1)
V 0.000 0.000 0.500 (multiplicity 1)
Co 0.500 0.500 0.000 (multiplicity 1)
Pb 0.000 0.500 0.500 (multiplicity 2)

Computed properties:
E_form = 0.9973 eV per atom
N(E_F) = 8.145 states/eV/cell

Computed, not measured: an optimized crystal structure of Pr4Y2Th at the GGA-PBE level of DFT.

Lattice parameters (Å, degrees): 6.338 3.664 20.972 90.00 95.77 90.00
Space group Cm (No. 8)
Unique sites:
Pr 0.000 0.000 0.000 (multiplicity 2)
Pr 0.021 0.500 0.565 (multiplicity 2)
Pr 0.407 0.500 0.716 (multiplicity 2)
Pr 0.430 0.000 0.284 (multiplicity 2)
Y 0.216 0.500 0.143 (multiplicity 2)
Y 0.314 0.500 0.426 (multiplicity 2)
Th 0.116 0.500 0.857 (multiplicity 2)

Computed properties:
E_form = 0.0421 eV per atom
offset from the most stable computed form = 0.000 eV per atom
N(E_F) = 22.052 states/eV/cell

Computed, not measured: an optimized crystal structure of Ac14TbSc at the GGA-PBE level of DFT.

Lattice parameters (Å, degrees): 7.838 7.838 11.149 90.00 90.00 90.00
Space group P4/mmm (No. 123)
Unique sites:
Ac 0.000 0.000 0.000 (multiplicity 1)
Ac 0.000 0.500 0.000 (multiplicity 2)
Ac 0.000 0.500 0.500 (multiplicity 2)
Ac 0.248 0.248 0.259 (multiplicity 8)
Ac 0.500 0.500 0.000 (multiplicity 1)
Tb 0.500 0.500 0.500 (multiplicity 1)
Sc 0.000 0.000 0.500 (multiplicity 1)

Computed properties:
E_form = 0.0455 eV per atom
N(E_F) = 26.543 states/eV/cell

Computed, not measured: an optimized crystal structure of KUPdSe4 at the GGA-PBE level of DFT.

Lattice parameters (Å, degrees): 7.176 5.728 9.395 90.00 108.71 90.00
Space group P2_1/m (No. 11)
Unique sites:
K 0.241 0.250 0.053 (multiplicity 2)
U 0.273 0.250 0.553 (multiplicity 2)
Pd 0.250 0.750 0.317 (multiplicity 2)
Se 0.034 0.514 0.699 (multiplicity 4)
Se 0.435 0.750 0.590 (multiplicity 2)
Se 0.476 0.750 0.164 (multiplicity 2)

Computed properties:
uncorrected formation energy = -0.851 eV per atom
N(E_F) = 11.742 states/eV/cell

Computed, not measured: an optimized crystal structure of PmAl4CuPt2 at the GGA-PBE level of DFT.

Lattice parameters (Å, degrees): 4.2631 4.2631 26.5021 90.00 90.00 120.00
Space group R-3m (No. 166, hexagonal axes)
Unique sites:
Pm 0.0000 0.0000 0.0000 (multiplicity 3)
Al 0.0000 0.0000 0.1332 (multiplicity 6)
Al 0.0000 0.0000 0.4047 (multiplicity 6)
Cu 0.0000 0.0000 0.5000 (multiplicity 3)
Pt 0.0000 0.0000 0.2353 (multiplicity 6)

Computed properties:
E_form = -0.7738 eV per atom
N(E_F) = 8.836 states/eV/cell